Here is LiSiMoO4 after structural relaxation from the Alexandria database. Energies are from PBE+U.

Unit cell a=5.115 b=5.115 c=6.443 alpha=90.00 beta=90.00 gamma=113.48
Last column: magnetic moment on the atom in μB.
Fractional coordinates of all 14 atoms:
O 0.738 0.791 0.750  0.01
O 0.791 0.738 0.250  0.01
O 0.252 0.748 0.038  0.02
O 0.252 0.748 0.462  0.02
O 0.209 0.262 0.750  0.01
O 0.748 0.252 0.538  0.02
O 0.748 0.252 0.962  0.02
O 0.262 0.209 0.250  0.01
Li 0.833 0.167 0.250  0.00
Li 0.167 0.833 0.750  0.00
Si 0.850 0.150 0.750  0.02
Si 0.150 0.850 0.250  0.02
Mo 0.500 0.500 0.500  2.77
Mo 0.500 0.500 0.000  2.77

Its total DFT energy (no corrections) is -7.156 eV/atom. The value obtained for the density of states at the Fermi level is 0.000 states/eV/cell.